# 1
Material: Zr3VW
Method: DFT, PBE
State: relaxed

Computed properties:
* M_tot: 2.80 μB/f.u.
* ΔE_f: 1.111 eV per atom
* offset from the most stable computed form: 0.00 eV per formula unit

Structure (POSCAR):
```
Zr3VW
1.0
5.077 0.000 0.000
0.000 5.077 0.000
0.000 0.000 5.077
Zr V W
3 1 1
Cartesian
0.000 0.000 2.538 Zr
0.000 2.538 0.000 Zr
2.538 0.000 0.000 Zr
2.538 2.538 2.538 V
0.000 0.000 0.000 W
```


# 2
Material: La14HgPb
Method: DFT, PBE
State: relaxed

Computed properties:
* M_tot: 0.00 μB/f.u.
* ΔE_f: -0.129 eV per atom

Structure (POSCAR):
```
La14HgPb
1.0
7.241 0.000 0.000
0.000 7.241 0.000
0.000 0.000 10.480
La Hg Pb
14 1 1
Cartesian
0.000 0.000 0.000 La
0.000 3.621 0.000 La
0.000 3.621 5.240 La
1.807 1.807 2.689 La
1.807 1.807 7.791 La
1.807 5.434 2.689 La
1.807 5.434 7.791 La
3.621 0.000 0.000 La
3.621 0.000 5.240 La
3.621 3.621 0.000 La
5.434 1.807 2.689 La
5.434 1.807 7.791 La
5.434 5.434 2.689 La
5.434 5.434 7.791 La
0.000 0.000 5.240 Hg
3.621 3.621 5.240 Pb
```